No. 1
The following is a DFT calculation (PBE+U) of Mn3O4 after structural relaxation.

Space group: I4_1/amd, No. 141
Calculated volume: 167 Å³/cell
Calculated total energy: -7.681 eV per atom

abc: 5.905 6.349 5.905
angles: 117.71 90.00 117.71
Last column: magnetic moment on the atom in μB.
Sites, in units of the cell vectors:
O 0.242 0.984 0.215  -0.01
O 0.769 0.484 0.242  -0.01
Mn 0.000 0.000 0.000  3.99
O 0.758 0.016 0.785  -0.01
Mn 0.500 0.000 0.000  3.99
O 0.242 0.984 0.770  -0.01
O 0.785 0.516 0.758  -0.01
O 0.758 0.016 0.230  -0.01
Mn 0.000 0.500 0.000  3.99
O 0.215 0.484 0.242  -0.01
Mn 0.375 0.250 0.625  4.58
Mn 0.000 0.500 0.500  3.99
Mn 0.625 0.750 0.375  4.58
O 0.231 0.516 0.758  -0.01

No. 2
The following is a DFT calculation (PBE+U) of Mn3O4 after structural relaxation.

Density of states at the Fermi level: 1.34 states/eV/f.u.
Space group: Cmcm, No. 63
Calculated volume: 203 Å³/cell
Calculated total energy: -7.477 eV per atom

abc: 5.521 5.521 12.145
angles: 90.00 90.00 146.69
Last column: magnetic moment on the atom in μB.
Sites, in units of the cell vectors:
O 0.741 0.259 0.096  -0.04
O 0.500 0.500 0.000  -0.07
O 0.259 0.741 0.596  -0.04
Mn 0.873 0.127 0.958  4.41
O 0.119 0.881 0.250  -0.02
O 0.741 0.259 0.404  -0.04
O 0.500 0.500 0.500  -0.07
Mn 0.127 0.873 0.458  4.41
O 0.259 0.741 0.904  -0.04
Mn 0.127 0.873 0.042  4.41
O 0.881 0.119 0.750  -0.02
Mn 0.714 0.286 0.250  3.87
Mn 0.286 0.714 0.750  3.87
Mn 0.873 0.127 0.542  4.41

No. 3
The following is a DFT calculation (PBE+U) of Mn2O3 after structural relaxation.

Density of states at the Fermi level: 0.18 states/eV/f.u.
Space group: P-1, No. 2
Calculated volume: 838 Å³/cell
Calculated total energy: -7.484 eV per atom

abc: 10.518 10.516 10.650
angles: 119.57 90.01 119.99
Last column: magnetic moment on the atom in μB.
Sites, in units of the cell vectors:
Mn 0.612 0.223 0.834  3.44
Mn 0.365 0.733 0.619  3.96
O 0.562 0.357 0.582  -0.08
Mn 0.114 0.749 0.381  3.96
O 0.519 0.858 0.058  -0.06
Mn 0.135 0.742 0.883  3.98
O 0.339 0.539 0.058  -0.06
Mn 0.368 0.253 0.619  3.96
O 0.204 0.980 0.418  -0.08
Mn 0.234 0.469 0.704  4.67
O 0.952 0.634 0.176  -0.09
O 0.077 0.859 0.801  -0.08
O 0.278 0.216 0.925  -0.08
Mn 0.753 0.005 0.754  4.00
Mn 0.865 0.258 0.117  3.98
O 0.782 0.724 0.801  -0.08
O 0.999 0.169 0.470  -0.05
O 0.048 0.366 0.824  -0.09
O 0.942 0.019 0.801  -0.08
Mn 0.000 0.000 0.500  3.96
O 0.300 0.299 0.468  -0.05
Mn 0.247 0.995 0.246  4.00
O 0.923 0.141 0.199  -0.08
O 0.443 0.023 0.308  -0.09
O 0.796 0.020 0.582  -0.08
Mn 0.113 0.226 0.339  3.49
O 0.061 0.353 0.076  -0.08
Mn 0.500 0.000 0.500  4.65
Mn 0.887 0.774 0.661  3.49
O 0.818 0.792 0.322  -0.08
O 0.939 0.647 0.924  -0.08
O 0.058 0.981 0.199  -0.08
O 0.218 0.276 0.199  -0.08
O 0.661 0.461 0.942  -0.06
O 0.800 0.281 0.942  -0.06
Mn 0.500 0.500 0.500  3.96
O 0.292 0.015 0.076  -0.08
O 0.169 0.470 0.468  -0.05
O 0.457 0.506 0.823  -0.09
O 0.318 0.776 0.824  -0.09
Mn 0.749 0.501 0.754  4.00
O 0.682 0.224 0.176  -0.09
Mn 0.000 0.500 0.000  3.98
Mn 0.747 0.998 0.246  4.00
Mn 0.500 0.000 0.000  3.98
O 0.481 0.142 0.942  -0.06
O 0.579 0.864 0.308  -0.09
O 0.284 0.728 0.308  -0.09
O 0.543 0.494 0.177  -0.09
O 0.225 0.787 0.582  -0.08
O 0.973 0.504 0.322  -0.08
Mn 0.886 0.251 0.619  3.96
O 0.557 0.977 0.692  -0.09
Mn 0.500 0.500 0.000  3.98
O 0.775 0.213 0.418  -0.08
Mn 0.393 0.253 0.117  3.98
O 0.469 0.651 0.678  -0.09
Mn 0.607 0.747 0.883  3.98
O 0.200 0.719 0.058  -0.06
O 0.421 0.136 0.692  -0.09
Mn 0.388 0.777 0.166  3.44
Mn 0.000 0.500 0.500  3.96
Mn 0.635 0.267 0.381  3.96
O 0.531 0.349 0.322  -0.09
O 0.831 0.530 0.532  -0.05
Mn 0.253 0.002 0.754  4.00
O 0.438 0.643 0.418  -0.08
Mn 0.141 0.276 0.883  3.98
O 0.708 0.985 0.924  -0.08
O 0.027 0.496 0.678  -0.08
Mn 0.000 0.000 0.000  4.67
Mn 0.251 0.499 0.246  4.00
Mn 0.859 0.724 0.117  3.98
O 0.001 0.831 0.530  -0.05
O 0.700 0.701 0.532  -0.05
O 0.182 0.208 0.678  -0.08
Mn 0.766 0.531 0.296  4.67
O 0.722 0.784 0.075  -0.08
Mn 0.632 0.747 0.381  3.96
O 0.716 0.272 0.692  -0.09

No. 4
The following is a DFT calculation (PBE+U) of Mn3O4 after structural relaxation.

Density of states at the Fermi level: 0.92 states/eV/f.u.
Space group: P2_12_12, No. 18
Calculated volume: 485 Å³/cell
Calculated total energy: -7.516 eV per atom

abc: 11.268 2.890 14.884
angles: 90.01 90.00 90.00
Last column: magnetic moment on the atom in μB.
Sites, in units of the cell vectors:
O 0.860 0.500 0.429  0.00
O 0.515 0.999 0.726  -0.07
O 0.985 0.999 0.774  -0.07
Mn 0.881 0.499 0.744  4.05
Mn 0.120 0.501 0.244  4.05
Mn 0.845 0.001 0.319  4.49
Mn 0.125 0.000 0.020  4.02
Mn 0.345 0.999 0.681  4.49
Mn 0.655 0.001 0.181  4.49
O 0.388 0.500 0.398  -0.03
Mn 0.381 0.501 0.256  4.05
O 0.250 0.001 0.250  -0.02
O 0.112 0.500 0.102  -0.03
O 0.015 0.001 0.274  -0.07
O 0.750 0.501 0.250  -0.01
O 0.888 0.500 0.602  -0.03
O 0.640 0.500 0.071  0.00
O 0.485 0.001 0.226  -0.07
O 0.360 0.500 0.571  0.00
Mn 0.625 0.000 0.980  4.02
Mn 0.620 0.499 0.756  4.05
Mn 0.875 0.000 0.520  4.02
O 0.612 0.500 0.898  -0.03
O 0.250 0.499 0.750  -0.01
O 0.140 0.500 0.929  0.00
O 0.750 0.999 0.750  -0.02
Mn 0.155 0.999 0.819  4.49
Mn 0.375 0.000 0.480  4.02

No. 5
The following is a DFT calculation (PBE+U) of Mn2O3 after structural relaxation.

Density of states at the Fermi level: 1.26 states/eV/f.u.
Space group: P-1, No. 2
Calculated volume: 116 Å³/cell
Calculated total energy: -7.462 eV per atom

abc: 5.275 5.134 5.136
angles: 114.69 102.43 102.41
Last column: magnetic moment on the atom in μB.
Sites, in units of the cell vectors:
Mn 0.251 0.731 0.268  4.12
O 0.000 0.000 0.500  -0.04
Mn 0.749 0.269 0.732  4.12
Mn 0.250 0.095 0.904  3.98
O 0.989 0.703 0.898  -0.13
O 0.490 0.898 0.703  -0.13
O 0.510 0.102 0.297  -0.13
O 0.011 0.297 0.102  -0.13
O 0.500 0.500 0.000  -0.04
Mn 0.750 0.905 0.096  3.98

No. 6
The following is a DFT calculation (PBE+U) of Mn3O5 after structural relaxation.

Density of states at the Fermi level: 3.84 states/eV/f.u.
Space group: I4/mcm, No. 140
Calculated volume: 161 Å³/cell
Calculated total energy: -6.891 eV per atom

abc: 5.676 5.676 6.408
angles: 116.29 116.29 90.00
Last column: magnetic moment on the atom in μB.
Sites, in units of the cell vectors:
O 0.026 0.212 0.739  -0.23
Mn 0.673 0.827 0.000  3.72
Mn 0.750 0.750 0.500  4.63
Mn 0.250 0.250 0.500  4.63
O 0.000 0.000 0.000  -0.32
Mn 0.327 0.173 0.000  3.72
O 0.974 0.788 0.261  -0.23
O 0.712 0.526 0.739  -0.23
Mn 0.173 0.673 0.000  3.72
O 0.212 0.712 0.739  -0.23
O 0.788 0.288 0.261  -0.23
Mn 0.827 0.327 0.000  3.72
O 0.526 0.026 0.739  -0.23
O 0.500 0.500 0.000  -0.32
O 0.288 0.474 0.261  -0.23
O 0.474 0.974 0.261  -0.23

No. 7
The following is a DFT calculation (PBE+U) of MnO4 after structural relaxation.

Density of states at the Fermi level: 0.00 states/eV/f.u.
Space group: C2/m, No. 12
Calculated volume: 59 Å³/cell
Calculated total energy: -5.728 eV per atom

abc: 3.760 3.760 5.114
angles: 97.04 97.04 55.06
Last column: magnetic moment on the atom in μB.
Sites, in units of the cell vectors:
Mn 0.000 0.000 0.000  4.66
O 0.361 0.361 0.181  0.03
O 0.639 0.639 0.819  0.03
O 0.384 0.384 0.461  0.02
O 0.616 0.616 0.539  0.02

No. 8
The following is a DFT calculation (PBE+U) of Mn2O3 after structural relaxation.

Density of states at the Fermi level: 1.50 states/eV/f.u.
Space group: Ia-3, No. 206
Calculated volume: 444 Å³/cell
Calculated total energy: -7.554 eV per atom

abc: 8.323 8.323 8.323
angles: 109.47 109.47 109.47
Last column: magnetic moment on the atom in μB.
Sites, in units of the cell vectors:
O 0.044 0.270 0.986  -0.11
Mn 0.750 0.285 0.535  4.05
O 0.956 0.730 0.014  -0.11
O 0.226 0.456 0.442  -0.11
O 0.230 0.274 0.716  -0.11
Mn 0.965 0.250 0.215  4.05
O 0.730 0.014 0.956  -0.11
Mn 0.250 0.715 0.465  4.05
Mn 0.785 0.035 0.750  4.05
O 0.942 0.486 0.216  -0.11
O 0.726 0.284 0.770  -0.11
O 0.544 0.558 0.774  -0.11
O 0.216 0.942 0.486  -0.11
O 0.986 0.044 0.270  -0.11
Mn 0.000 0.000 0.500  4.04
Mn 0.465 0.250 0.715  4.05
O 0.058 0.514 0.784  -0.11
Mn 0.215 0.965 0.250  4.05
O 0.716 0.230 0.274  -0.11
O 0.284 0.770 0.726  -0.11
O 0.770 0.726 0.284  -0.11
Mn 0.500 0.500 0.500  4.04
O 0.784 0.058 0.514  -0.11
O 0.486 0.216 0.942  -0.11
O 0.558 0.774 0.544  -0.11
Mn 0.285 0.535 0.750  4.05
O 0.270 0.986 0.044  -0.11
Mn 0.535 0.750 0.285  4.05
O 0.014 0.956 0.730  -0.11
Mn 0.715 0.465 0.250  4.05
Mn 0.000 0.500 0.000  4.04
Mn 0.250 0.215 0.965  4.05
O 0.442 0.226 0.456  -0.11
Mn 0.750 0.785 0.035  4.05
O 0.456 0.442 0.226  -0.11
O 0.514 0.784 0.058  -0.11
O 0.774 0.544 0.558  -0.11
Mn 0.500 0.000 0.000  4.04
O 0.274 0.716 0.230  -0.11
Mn 0.035 0.750 0.785  4.05